## CrOF2 (PBE+U)

Data for a relaxed structure of CrOF2.

The space group is I-42d (No. 122) and the conventional cell measures 3.3355, 3.3355 and 14.6316 Å, with angles of 90.00, 90.00 and 90.00 degrees. Symmetry generates all atoms from Cr at (0.0000, 0.0000, 0.0000), O at (0.0000, 0.0000, 0.5000) and F at (0.2217, 0.2500, 0.1250).

As for the final energy: -5.03 eV per atom. Its crystal system is tetragonal. The theoretical density is 4.32 g/cm3.